Density functional theory data (GGA+U) for a relaxed Cs2AlVF6 crystal.

As for the density of states at the Fermi level: 0.000 states/eV per cell. Its total energy is -5.061 eV/atom. As for the spin magnetization: 4.0 μB per formula unit.

The structure belongs to space group I4/mmm (No. 139); the cell edges are 5.725, 5.725 and 11.611 Å and the angles 90.00°, 90.00° and 90.00°. The distinct sites, in fractional coordinates, are Cs at (0.000, 0.500, 0.250), Al at (0.000, 0.000, 0.000), V at (0.000, 0.000, 0.500), F at (0.000, 0.000, 0.321) and F at (0.227, 0.227, 0.000).